Entry 1:
Below is a relaxed LiPaMnGa crystal, with properties calculated at the PBE-GGA level.

Crystal system: cubic
Size of the total moment (μB/cell): 6.5
Total DFT energy (no corrections) (eV/cell): -94.99
Energy of formation (eV/atom): -0.035

Unit cell a=6.3821 b=6.3821 c=6.3821 alpha=90.00 beta=90.00 gamma=90.00
Last column: nearest neighbours and their distance in Å.
Space group F-43m (No. 216)
Unique sites:
Li1 0.0000 0.0000 0.0000 x4  4 Pa 2.76, 4 Ga 2.76
Pa1 0.2500 0.2500 0.2500 x4  4 Mn 2.76, 4 Li 2.76
Mn1 0.0000 0.0000 0.5000 x4  4 Ga 2.76, 4 Pa 2.76
Ga1 0.2500 0.2500 0.7500 x4  4 Mn 2.76, 4 Li 2.76

---

Entry 2:
Below is a relaxed LiSc2Mn2Ga5 crystal, with properties calculated at the PBE-GGA level.

Crystal system: tetragonal
Size of the total moment (μB/cell): 9.6
Total DFT energy (no corrections) (eV/cell): -102.51
Energy of formation (eV/atom): -0.320

Unit cell a=9.0701 b=9.0701 c=4.0212 alpha=90.00 beta=90.00 gamma=90.00
Last column: nearest neighbours and their distance in Å.
Space group P4/mbm (No. 127)
Unique sites:
Li1 0.0000 0.0000 0.0000 x2  8 Ga 2.81
Sc1 0.1816 0.3184 0.0000 x4  3 Mn 2.60-2.76
Mn1 0.1154 0.6154 0.0000 x4  6 Ga 2.50-2.62, 3 Sc 2.60-2.76
Ga1 0.0000 0.5000 0.5000 x2  4 Mn 2.50, 4 Ga 2.72
Ga2 0.0645 0.7930 0.5000 x8  2 Mn 2.62, 4 Ga 2.72-2.93, 2 Li 2.81

---

Entry 3:
Below is a relaxed SrLiMnGa2 crystal, with properties calculated at the PBE-GGA level.

Crystal system: tetragonal
Size of the total moment (μB/cell): 3.7
Total DFT energy (no corrections) (eV/cell): -13.30
Energy of formation (eV/atom): 1.104

Unit cell a=5.8352 b=5.8352 c=5.7004 alpha=90.00 beta=90.00 gamma=90.00
Last column: nearest neighbours and their distance in Å.
Space group P4/mmm (No. 123)
Unique sites:
Sr1 0.0000 0.0000 0.0000 x1  2 Mn 2.85, 4 Ga 2.92
Li1 0.5000 0.5000 0.5000 x1  8 Ga 4.08, 4 Mn 4.13
Mn1 0.0000 0.0000 0.5000 x1  2 Sr 2.85
Ga1 0.0000 0.5000 0.0000 x2  2 Sr 2.92

---

Entry 4:
Below is a relaxed LiTh2MnGa6 crystal, with properties calculated at the PBE-GGA level.

Crystal system: tetragonal
Size of the total moment (μB/cell): 5.4
Total DFT energy (no corrections) (eV/cell): -91.90
Energy of formation (eV/atom): -0.187

Unit cell a=6.5327 b=6.5327 c=9.2239 alpha=90.00 beta=90.00 gamma=90.00
Last column: nearest neighbours and their distance in Å.
Space group I4/mmm (No. 139)
Unique sites:
Li1 0.0000 0.0000 0.0000 x2  6 Ga 2.24
Th1 0.0000 0.5000 0.2500 x4  12 Ga 3.26-3.27
Mn1 0.0000 0.0000 0.5000 x2  6 Ga 2.38
Ga1 0.0000 0.0000 0.2423 x4  1 Li 2.24, 1 Mn 2.38
Ga2 0.2424 0.2424 0.0000 x8  1 Li 2.24, 1 Mn 2.38

---

Entry 5:
Below is a relaxed LiTiMnGa crystal, with properties calculated at the PBE-GGA level.

Crystal system: cubic
Size of the total moment (μB/cell): 2.5
Total DFT energy (no corrections) (eV/cell): -88.95
Energy of formation (eV/atom): -0.058

Unit cell a=6.0487 b=6.0487 c=6.0487 alpha=90.00 beta=90.00 gamma=90.00
Last column: nearest neighbours and their distance in Å.
Space group F-43m (No. 216)
Unique sites:
Li1 0.0000 0.0000 0.0000 x4  4 Ti 2.62, 4 Ga 2.62
Ti1 0.2500 0.2500 0.7500 x4  4 Mn 2.62, 4 Li 2.62
Mn1 0.0000 0.0000 0.5000 x4  4 Ga 2.62, 4 Ti 2.62
Ga1 0.2500 0.2500 0.2500 x4  4 Li 2.62, 4 Mn 2.62

---

Entry 6:
Below is a relaxed LiTmMnGa crystal, with properties calculated at the PBE-GGA level.

Crystal system: cubic
Size of the total moment (μB/cell): 15.7
Total DFT energy (no corrections) (eV/cell): -75.66
Energy of formation (eV/atom): -0.083

Unit cell a=6.5538 b=6.5538 c=6.5538 alpha=90.00 beta=90.00 gamma=90.00
Last column: nearest neighbours and their distance in Å.
Space group F-43m (No. 216)
Unique sites:
Li1 0.0000 0.0000 0.0000 x4  4 Tm 2.84, 4 Ga 2.84
Tm1 0.2500 0.2500 0.2500 x4  4 Mn 2.84, 4 Li 2.84
Mn1 0.0000 0.0000 0.5000 x4  4 Tm 2.84, 4 Ga 2.84
Ga1 0.2500 0.2500 0.7500 x4  4 Mn 2.84, 4 Li 2.84

---

Entry 7:
Below is a relaxed LiMnGaW crystal, with properties calculated at the PBE-GGA level.

Crystal system: cubic
Size of the total moment (μB/cell): 4.0
Total DFT energy (no corrections) (eV/cell): -107.93
Energy of formation (eV/atom): 0.020

Unit cell a=5.9226 b=5.9226 c=5.9226 alpha=90.00 beta=90.00 gamma=90.00
Last column: nearest neighbours and their distance in Å.
Space group F-43m (No. 216)
Unique sites:
Li1 0.0000 0.0000 0.0000 x4  4 Ga 2.56, 4 W 2.56
Mn1 0.0000 0.0000 0.5000 x4  4 W 2.56, 4 Ga 2.56
Ga1 0.2500 0.2500 0.7500 x4  4 Mn 2.56, 4 Li 2.56
W1 0.2500 0.2500 0.2500 x4  4 Mn 2.56, 4 Li 2.56

---

Entry 8:
Below is a relaxed LiGa3Mo crystal, with properties calculated at the PBE-GGA level.

Crystal system: cubic
Size of the total moment (μB/cell): 0.0
Total DFT energy (no corrections) (eV/cell): -20.87
Energy of formation (eV/atom): 0.191

Unit cell a=4.9143 b=4.9143 c=4.9143 alpha=90.00 beta=90.00 gamma=90.00
Last column: nearest neighbours and their distance in Å.
Space group Pm-3m (No. 221)
Unique sites:
Li1 0.0000 0.0000 0.0000 x1  12 Ga 3.47
Ga1 0.0000 0.5000 0.5000 x3  2 Mo 2.46
Mo1 0.5000 0.5000 0.5000 x1  6 Ga 2.46

---

Entry 9:
Below is a relaxed LiGaMo crystal, with properties calculated at the PBE-GGA level.

Crystal system: monoclinic
Size of the total moment (μB/cell): 0.0
Total DFT energy (no corrections) (eV/cell): -31.69
Energy of formation (eV/atom): -0.025

Unit cell a=2.7182 b=4.3992 c=7.7495 alpha=90.00 beta=99.68 gamma=90.00
Last column: nearest neighbours and their distance in Å.
Space group P2_1/m (No. 11)
Unique sites:
Li1 0.1763 0.2500 0.2189 x2  5 Ga 2.62-2.83, 2 Li 2.72, 2 Mo 2.74
Ga1 0.4527 0.2500 0.8908 x2  5 Li 2.62-2.83, 2 Mo 2.67-2.89, 4 Ga 2.72-2.76
Mo1 0.1140 0.7500 0.4254 x2  4 Mo 2.61-2.72, 2 Ga 2.67-2.89, 2 Li 2.74

---

Entry 10:
Below is a relaxed LiGa2Mo2 crystal, with properties calculated at the PBE-GGA level.

Crystal system: tetragonal
Size of the total moment (μB/cell): 0.0
Total DFT energy (no corrections) (eV/cell): -57.94
Energy of formation (eV/atom): 0.132

Unit cell a=6.6117 b=6.6117 c=3.5446 alpha=90.00 beta=90.00 gamma=90.00
Last column: nearest neighbours and their distance in Å.
Space group P4/mbm (No. 127)
Unique sites:
Li1 0.0000 0.0000 0.0000 x2  4 Ga 2.55
Ga1 0.1417 0.3583 0.0000 x4  2 Li 2.55, 6 Mo 2.59-2.65, 1 Ga 2.65
Mo1 0.1560 0.6560 0.5000 x4  6 Ga 2.59-2.65

---

Entry 11:
Below is a relaxed Li2Ga2Mo crystal, with properties calculated at the PBE-GGA level.

Crystal system: tetragonal
Size of the total moment (μB/cell): 0.0
Total DFT energy (no corrections) (eV/cell): -40.96
Energy of formation (eV/atom): 0.046

Unit cell a=3.4941 b=3.4941 c=12.2815 alpha=90.00 beta=90.00 gamma=90.00
Last column: nearest neighbours and their distance in Å.
Space group I4/mmm (No. 139)
Unique sites:
Li1 0.0000 0.5000 0.2500 x4  4 Li 2.47, 4 Ga 2.55
Ga1 0.0000 0.0000 0.0985 x4  1 Ga 2.42, 4 Li 2.55
Mo1 0.0000 0.0000 0.5000 x2  8 Ga 2.75

---

Entry 12:
Below is a relaxed LiGaMo2 crystal, with properties calculated at the PBE-GGA level.

Crystal system: tetragonal
Size of the total moment (μB/cell): 0.0
Total DFT energy (no corrections) (eV/cell): -96.76
Energy of formation (eV/atom): 0.603

Unit cell a=6.9509 b=6.9509 c=5.1480 alpha=90.00 beta=90.00 gamma=90.00
Last column: nearest neighbours and their distance in Å.
Space group I-42d (No. 122)
Unique sites:
Li1 0.0000 0.0000 0.0000 x4  4 Mo 2.54, 2 Ga 2.57
Ga1 0.0000 0.0000 0.5000 x4  4 Mo 2.54, 2 Li 2.57
Mo1 0.2491 0.2500 0.6250 x8  2 Ga 2.54, 2 Li 2.54, 2 Mo 2.57

---

Entry 13:
Below is a relaxed LiGaMo3 crystal, with properties calculated at the PBE-GGA level.

Crystal system: cubic
Size of the total moment (μB/cell): 0.0
Total DFT energy (no corrections) (eV/cell): -31.67
Energy of formation (eV/atom): 1.153

Unit cell a=4.2320 b=4.2320 c=4.2320 alpha=90.00 beta=90.00 gamma=90.00
Last column: nearest neighbours and their distance in Å.
Space group Pm-3m (No. 221)
Unique sites:
Li1 0.0000 0.0000 0.0000 x1  6 Mo 2.12
Ga1 0.5000 0.5000 0.5000 x1  12 Mo 2.99
Mo1 0.0000 0.0000 0.5000 x3  2 Li 2.12

---

Entry 14:
Below is a relaxed LiGa4Mo crystal, with properties calculated at the PBE-GGA level.

Crystal system: monoclinic
Size of the total moment (μB/cell): 1.1
Total DFT energy (no corrections) (eV/cell): -50.62
Energy of formation (eV/atom): -0.076

Unit cell a=7.2074 b=7.4056 c=4.3448 alpha=90.00 beta=126.95 gamma=90.00
Last column: nearest neighbours and their distance in Å.
Space group C2/m (No. 12)
Unique sites:
Li1 0.0000 0.0000 0.0000 x2  12 Ga 2.84-2.90, 2 Mo 2.88
Ga1 0.2378 0.1654 0.7381 x8  4 Ga 2.45-2.74
Mo1 0.0000 0.5000 0.5000 x2  12 Ga 2.83-2.92, 2 Li 2.88

---

Entry 15:
Below is a relaxed LiGa2Mo2 crystal, with properties calculated at the PBE-GGA level.

Crystal system: tetragonal
Size of the total moment (μB/cell): 0.0
Total DFT energy (no corrections) (eV/cell): -58.68
Energy of formation (eV/atom): 0.058

Unit cell a=7.8968 b=7.8968 c=2.7376 alpha=90.00 beta=90.00 gamma=90.00
Last column: nearest neighbours and their distance in Å.
Space group P4/mbm (No. 127)
Unique sites:
Li1 0.0000 0.0000 0.0000 x2  2 Li 2.74
Ga1 0.1821 0.3179 0.5000 x4  6 Mo 2.67-2.76, 2 Ga 2.74
Mo1 0.1129 0.6129 0.0000 x4  3 Mo 2.52-2.74, 6 Ga 2.67-2.76

---

Entry 16:
Below is a relaxed Li2Ga2Mo crystal, with properties calculated at the PBE-GGA level.

Crystal system: tetragonal
Size of the total moment (μB/cell): 0.0
Total DFT energy (no corrections) (eV/cell): -41.45
Energy of formation (eV/atom): -0.002

Unit cell a=7.2362 b=7.2362 c=2.7314 alpha=90.00 beta=90.00 gamma=90.00
Last column: nearest neighbours and their distance in Å.
Space group P4/mbm (No. 127)
Unique sites:
Li1 0.1533 0.3467 0.0000 x4  6 Ga 2.46-2.56, 2 Li 2.73
Ga1 0.1465 0.6465 0.5000 x4  6 Li 2.46-2.56, 2 Ga 2.73
Mo1 0.0000 0.0000 0.5000 x2  2 Mo 2.73, 4 Ga 2.77

---

Entry 17:
Below is a relaxed Li2GaMoN4 crystal, with properties calculated at the PBE-GGA level.

Crystal system: tetragonal
Size of the total moment (μB/cell): 2.1
Formation energy (no corrections) (eV/atom): -0.2784
Total DFT energy (no corrections) (eV/cell): -106.43

Unit cell a=4.7671 b=4.7671 c=8.8423 alpha=90.00 beta=90.00 gamma=90.00
Last column: nearest neighbours and their distance in Å.
Space group I-4 (No. 82)
Unique sites:
Li1 0.0000 0.0000 0.0000 x2  4 N 2.13
Li2 0.0000 0.5000 0.2500 x2  4 N 2.14
Ga1 0.0000 0.0000 0.5000 x2  4 N 1.95
Mo1 0.0000 0.5000 0.7500 x2  4 N 1.87
N1 0.2100 0.7427 0.6281 x8  1 Mo 1.87, 1 Ga 1.95

---

Entry 18:
Below is a relaxed Li2GaMoN crystal, with properties calculated at the PBE-GGA level.

Crystal system: tetragonal
Size of the total moment (μB/cell): 0.0
Formation energy (no corrections) (eV/atom): -0.2897
Total DFT energy (no corrections) (eV/cell): -27.46

Unit cell a=3.8872 b=3.8872 c=4.0646 alpha=90.00 beta=90.00 gamma=90.00
Last column: nearest neighbours and their distance in Å.
Space group P4/mmm (No. 123)
Unique sites:
Li1 0.0000 0.5000 0.0000 x2  2 N 1.94
Ga1 0.0000 0.0000 0.5000 x1  4 Mo 2.75, 8 Li 2.81
Mo1 0.5000 0.5000 0.5000 x1  2 N 2.03
N1 0.5000 0.5000 0.0000 x1  4 Li 1.94, 2 Mo 2.03